Compound: Pm3YEr3
Source: Alexandria via LeMat-Bulk
Functional: PBE-GGA
Structure: optimized geometry

Raw total energy ... -4.749 eV/atom
Excess energy over the best structure of this formula in the dataset ... 101 kJ/mol of formula units
M_tot ... 0.000 μB/atom

abc: 14.8146 14.8146 14.8146
angles: 24.15 24.15 24.15
Atoms (fractional coordinates):
1 Pm 0.1314 0.4619 0.8002
2 Pm 0.1998 0.8686 0.5381
3 Pm 0.4619 0.8002 0.1314
4 Pm 0.5381 0.1998 0.8686
5 Pm 0.8002 0.1314 0.4619
6 Pm 0.8686 0.5381 0.1998
7 Y 0.3333 0.3333 0.3333
8 Y 0.6667 0.6667 0.6667
9 Er 0.0650 0.7317 0.3988
10 Er 0.2683 0.6012 0.9350
11 Er 0.3988 0.0650 0.7317
12 Er 0.6012 0.9350 0.2683
13 Er 0.7317 0.3988 0.0650
14 Er 0.9350 0.2683 0.6012